DFT (PBE) results for BaCuP4 after structural relaxation.

Summary:
The crystal system is cubic. Its formation energy is 0.08 eV per atom.

```
data_BaCuP4
_chemical_formula_sum 'Ba4 Cu4 P16'
_symmetry_space_group_name_H-M 'F -4 3 m'
_symmetry_Int_Tables_number 216
_symmetry_space_group_name_Hall 'F -4 2 3'
_cell_length_a 8.079
_cell_length_b 8.079
_cell_length_c 8.079
_cell_angle_alpha 90.00
_cell_angle_beta 90.00
_cell_angle_gamma 90.00
loop_
_atom_site_label
_atom_site_fract_x
_atom_site_fract_y
_atom_site_fract_z
_atom_site_occupancy
Ba1 0.000 0.000 0.000 1
Cu1 0.250 0.250 0.750 1
P1 0.100 0.100 0.400 1
```